KLi2Be | PBE | optimized geometry

Cell: 6.425 6.425 6.425 Å, 151.35 125.37 62.84°
Fractional coordinates of all 4 atoms:
1 K 0.000 0.000 0.000
2 Li 0.310 0.810 0.500
3 Li 0.690 0.190 0.500
4 Be 0.500 0.500 0.000

Output
Space group: Immm, No. 71
Crystal system: orthorhombic
Energy of formation from the pure elements (meV per atom): 507.1

CaCdIn2 | PBE | optimized geometry

Cell: 3.421 5.130 6.141 Å, 90.00 90.05 90.00°
Fractional coordinates of all 4 atoms:
1 Ca 0.000 0.000 0.000
2 Cd 0.501 0.500 0.247
3 In 0.499 0.500 0.763
4 In 0.502 0.000 0.496

Output
Space group: Pm, No. 6
Crystal system: monoclinic
Energy of formation from the pure elements (meV per atom): -241.7

TaCoPd | PBE | optimized geometry

Cell: 3.095 6.875 6.875 Å, 142.67 90.00 90.00°
Fractional coordinates of all 6 atoms:
1 Ta 0.000 0.165 0.835
2 Ta 0.000 0.835 0.165
3 Co 0.500 0.313 0.684
4 Co 0.500 0.684 0.313
5 Pd 0.000 0.640 0.640
6 Pd 0.500 0.156 0.156

Output
Space group: Amm2, No. 38
Crystal system: orthorhombic
Energy of formation from the pure elements (meV per atom): -227.0

SrHoSi2Pt5 | PBE | optimized geometry

Cell: 4.133 4.133 11.179 Å, 90.00 90.00 90.00°
Fractional coordinates of all 9 atoms:
1 Sr 0.000 0.000 0.000
2 Ho 0.000 0.000 0.500
3 Si 0.500 0.500 0.210
4 Si 0.500 0.500 0.790
5 Pt 0.000 0.500 0.315
6 Pt 0.000 0.500 0.685
7 Pt 0.500 0.000 0.315
8 Pt 0.500 0.000 0.685
9 Pt 0.500 0.500 0.000

Output
Space group: P4/mmm, No. 123
Crystal system: tetragonal
Formation energy from raw total energies (eV per atom): -0.908

Ba2NaPt | PBE | optimized geometry

Cell: 3.967 3.967 9.701 Å, 90.00 90.00 90.00°
Fractional coordinates of all 4 atoms:
1 Ba 0.000 0.000 0.187
2 Ba 0.000 0.000 0.813
3 Na 0.500 0.500 0.500
4 Pt 0.500 0.500 0.000

Output
Space group: P4/mmm, No. 123
Crystal system: tetragonal
Energy of formation from the pure elements (meV per atom): -399.3

Cd2Ni2Ag | PBE | optimized geometry

Cell: 7.422 7.422 2.978 Å, 90.00 90.00 90.00°
Fractional coordinates of all 10 atoms:
1 Cd 0.176 0.324 0.000
2 Cd 0.324 0.824 0.000
3 Cd 0.676 0.176 0.000
4 Cd 0.824 0.676 0.000
5 Ni 0.118 0.618 0.500
6 Ni 0.382 0.118 0.500
7 Ni 0.618 0.882 0.500
8 Ni 0.882 0.382 0.500
9 Ag 0.000 0.000 0.500
10 Ag 0.500 0.500 0.500

Output
Space group: P4/mbm, No. 127
Crystal system: tetragonal
Energy of formation from the pure elements (meV per atom): 113.7

ErMnZnC | PBE | optimized geometry

Cell: 3.394 3.394 10.309 Å, 90.00 90.00 90.00°
Fractional coordinates of all 8 atoms:
1 Er 0.250 0.250 0.232
2 Er 0.750 0.750 0.768
3 Mn 0.250 0.750 0.000
4 Mn 0.750 0.250 0.000
5 Zn 0.250 0.750 0.500
6 Zn 0.750 0.250 0.500
7 C 0.250 0.250 0.886
8 C 0.750 0.750 0.114

Output
Space group: P4/nmm, No. 129
Crystal system: tetragonal
Energy of formation from the pure elements (meV per atom): -137.2

Nd4TlBiO | PBE | optimized geometry

Cell: 9.607 9.607 6.631 Å, 90.00 90.00 139.17°
Fractional coordinates of all 14 atoms:
1 Nd 0.000 0.500 0.000
2 Nd 0.000 0.500 0.500
3 Nd 0.065 0.935 0.750
4 Nd 0.420 0.580 0.750
5 Nd 0.500 0.000 0.000
6 Nd 0.500 0.000 0.500
7 Nd 0.580 0.420 0.250
8 Nd 0.935 0.065 0.250
9 Tl 0.112 0.888 0.250
10 Tl 0.888 0.112 0.750
11 Bi 0.390 0.610 0.250
12 Bi 0.610 0.390 0.750
13 O 0.288 0.712 0.750
14 O 0.712 0.288 0.250

Output
Space group: Cmcm, No. 63
Crystal system: orthorhombic
Formation energy from raw total energies (eV per atom): -1.165

TbPmSm4 | PBE | optimized geometry

Cell: 6.724 6.724 7.058 Å, 121.64 121.64 50.35°
Fractional coordinates of all 6 atoms:
1 Tb 0.000 0.000 0.000
2 Pm 0.000 0.000 0.500
3 Sm 0.333 0.333 0.083
4 Sm 0.334 0.334 0.585
5 Sm 0.666 0.666 0.415
6 Sm 0.667 0.667 0.917

Output
Space group: C2/m, No. 12
Crystal system: monoclinic
Energy of formation from the pure elements (meV per atom): 61.0

K2CoP | PBE | optimized geometry

Cell: 2.983 2.983 10.373 Å, 90.00 90.00 90.00°
Fractional coordinates of all 4 atoms:
1 K 0.000 0.000 0.233
2 K 0.000 0.000 0.767
3 Co 0.500 0.500 0.500
4 P 0.500 0.500 0.000

Output
Space group: P4/mmm, No. 123
Crystal system: tetragonal
Energy of formation from the pure elements (meV per atom): 712.8

Ta2AgPb | PBE | optimized geometry

Cell: 10.420 10.420 10.420 Å, 16.81 16.81 16.81°
Fractional coordinates of all 4 atoms:
1 Ta 0.000 0.000 0.000
2 Ta 0.253 0.253 0.253
3 Ag 0.509 0.509 0.509
4 Pb 0.752 0.752 0.752

Output
Space group: R3m, No. 160
Crystal system: trigonal
Energy of formation from the pure elements (meV per atom): 419.4

HoTm6Tl | PBE | optimized geometry

Cell: 5.362 12.590 12.590 Å, 16.15 90.00 90.00°
Fractional coordinates of all 8 atoms:
1 Ho 0.000 0.000 0.000
2 Tm 0.000 0.243 0.243
3 Tm 0.000 0.620 0.620
4 Tm 0.000 0.867 0.867
5 Tm 0.500 0.078 0.078
6 Tm 0.500 0.447 0.447
7 Tm 0.500 0.701 0.701
8 Tl 0.500 0.317 0.317

Output
Space group: Amm2, No. 38
Crystal system: orthorhombic
Energy of formation from the pure elements (meV per atom): -58.9

Mn2CrRu | PBE | optimized geometry

Cell: 5.291 5.291 5.291 Å, 151.52 131.05 57.61°
Fractional coordinates of all 4 atoms:
1 Mn 0.236 0.236 0.000
2 Mn 0.764 0.764 0.000
3 Cr 0.000 0.000 0.000
4 Ru 0.500 0.500 0.000

Output
Space group: Immm, No. 71
Crystal system: orthorhombic
Energy of formation from the pure elements (meV per atom): 695.7

SmHo4Tm6 | PBE | optimized geometry

Cell: 8.377 8.377 8.377 Å, 125.88 125.88 80.08°
Fractional coordinates of all 11 atoms:
1 Sm 0.000 0.000 0.000
2 Ho 0.258 0.258 0.667
3 Ho 0.409 0.742 0.000
4 Ho 0.591 0.591 0.333
5 Ho 0.742 0.409 0.000
6 Tm 0.000 0.500 0.500
7 Tm 0.065 0.566 0.000
8 Tm 0.434 0.434 0.500
9 Tm 0.500 0.000 0.500
10 Tm 0.566 0.065 0.000
11 Tm 0.935 0.935 0.500

Output
Space group: I-42m, No. 121
Crystal system: tetragonal
Energy of formation from the pure elements (meV per atom): 468.9

TiPbClO2 | PBE | optimized geometry

Cell: 7.614 3.579 8.434 Å, 90.00 116.15 90.00°
Fractional coordinates of all 10 atoms:
1 Ti 0.148 0.250 0.127
2 Ti 0.852 0.750 0.873
3 Pb 0.298 0.750 0.763
4 Pb 0.702 0.250 0.237
5 Cl 0.237 0.250 0.451
6 Cl 0.763 0.750 0.549
7 O 0.049 0.750 0.128
8 O 0.371 0.250 0.110
9 O 0.629 0.750 0.890
10 O 0.951 0.250 0.872

Output
Space group: P2_1/m, No. 11
Crystal system: monoclinic
Formation energy from raw total energies (eV per atom): -1.908

LaNOF2 | PBE | optimized geometry

Cell: 4.680 4.680 4.793 Å, 90.00 90.00 90.00°
Fractional coordinates of all 5 atoms:
1 La 0.000 0.000 0.000
2 N 0.500 0.500 0.500
3 O 0.000 0.000 0.500
4 F 0.000 0.500 0.000
5 F 0.500 0.000 0.000

Output
Space group: P4/mmm, No. 123
Crystal system: tetragonal
Formation energy from raw total energies (eV per atom): -1.415

Short version: total magnetic moment = 0.0 0.0 0.0 0.0 0.0 0.0 1.2 0.0 0.0 1.6 0.0 0.0 2.9 0.0 0.0 2.0 μB/f.u., in the order given.